Sm12Y6Tm: relaxed, PBE.

## Properties
For the volume, the calculation gives 34.20 A^3/atom. The value obtained for the magnetic moment is 0.00 μB/f.u. Its formation energy is 33 kJ/mol of atoms. The value obtained for the total energy is -93.455 eV/cell.

Lattice parameters (Å, degrees): 9.8619 9.8619 9.8619 112.30 112.30 112.30
With the nearest neighbours (Å) after each atom.
Element x y z (fractional)
1 Sm 0.0000 0.3750 0.6250  4 Sm 3.04-3.18
2 Sm 0.0000 0.6250 0.3750  4 Sm 3.04-3.18
3 Sm 0.2383 0.2383 0.5920  2 Sm 3.18, 2 Y 3.51, 1 Tm 3.56
4 Sm 0.2383 0.5920 0.2383  2 Sm 3.18, 2 Y 3.51, 1 Tm 3.56
5 Sm 0.3750 0.0000 0.6250  4 Sm 3.04-3.18
6 Sm 0.3750 0.6250 0.0000  4 Sm 3.04-3.18
7 Sm 0.4080 0.7617 0.7617  2 Sm 3.18, 2 Y 3.51, 1 Tm 3.56
8 Sm 0.5920 0.2383 0.2383  2 Sm 3.18, 2 Y 3.51, 1 Tm 3.56
9 Sm 0.6250 0.0000 0.3750  4 Sm 3.04-3.18
10 Sm 0.6250 0.3750 0.0000  4 Sm 3.04-3.18
11 Sm 0.7617 0.4080 0.7617  2 Sm 3.18, 2 Y 3.51, 1 Tm 3.56
12 Sm 0.7617 0.7617 0.4080  2 Sm 3.18, 2 Y 3.51, 1 Tm 3.56
13 Y 0.0349 0.7721 0.7721  2 Y 3.42, 5 Sm 3.44-3.76
14 Y 0.2279 0.2279 0.9651  2 Y 3.42, 5 Sm 3.44-3.76
15 Y 0.2279 0.9651 0.2279  2 Y 3.42, 5 Sm 3.44-3.76
16 Y 0.7721 0.0349 0.7721  2 Y 3.42, 5 Sm 3.44-3.76
17 Y 0.7721 0.7721 0.0349  2 Y 3.42, 5 Sm 3.44-3.76
18 Y 0.9651 0.2279 0.2279  2 Y 3.42, 5 Sm 3.44-3.76
19 Tm 0.5000 0.5000 0.5000  6 Sm 3.56, 6 Y 3.91